Entry 1:
Material: Th4CoPb
Method: DFT, PBE-GGA
State: relaxed

The structure belongs to space group P4/mcc (No. 124); the cell edges are 7.454, 7.454 and 6.073 Å and the angles 90.00°, 90.00° and 90.00°. The inequivalent atoms are Th at (0.139, 0.316, 0.000), Co at (0.000, 0.000, 0.250) and Pb at (0.500, 0.500, 0.250).

As for the volume: 169 Å³/f.u. Its crystal system is tetragonal. The calculation puts the formation energy at -0.170 eV/atom. The mass density is 11.756 g cm⁻³. As for the size of the total moment: 0.0 Bohr magnetons per cell. The calculation puts the total energy at -0.254 hartree per atom.

Entry 2:
Material: Ti2NbGa
Method: DFT, PBE-GGA
State: relaxed

The structure belongs to space group P4/mmm (No. 123); the cell edges are 3.309, 3.309 and 6.132 Å and the angles 90.00°, 90.00° and 90.00°. The inequivalent atoms are Ti at (0.000, 0.000, 0.250), Nb at (0.500, 0.500, 0.000) and Ga at (0.500, 0.500, 0.500).

As for the volume: 67 Å³/f.u. Its crystal system is tetragonal. The calculation puts the formation energy at -0.284 eV/atom. The mass density is 6.391 g cm⁻³. As for the size of the total moment: 0.0 Bohr magnetons per cell. The calculation puts the total energy at -0.276 hartree per atom.

Entry 3:
Material: Ta3InSb
Method: DFT, PBE-GGA
State: relaxed

The structure belongs to space group Pm-3m (No. 221); the cell edges are 5.030, 5.030 and 5.030 Å and the angles 90.00°, 90.00° and 90.00°. The inequivalent atoms are Ta at (0.000, 0.000, 0.500), In at (0.500, 0.500, 0.500) and Sb at (0.000, 0.000, 0.000).

As for the volume: 127 Å³/f.u. Its crystal system is cubic. The mass density is 10.173 g cm⁻³. Its raw formation energy is 1690 meV per atom. As for the size of the total moment: 0.0 Bohr magnetons per cell. The calculation puts the total energy at -0.250 hartree per atom.